Compound: Co2I
Source: OQMD via LeMat-Bulk
Functional: PBE
Structure: relaxed

Crystal system = tetragonal
Energy = -4.0731 eV per atom
Symmetry = No. 136

Unit cell a=5.1936 b=5.1936 c=4.3552 alpha=90.00 beta=90.00 gamma=90.00
Closest atoms and distances in Å follow each position.
Element x y z (fractional)
1 Co 0.1663 0.1663 0.0000  1 Co 2.44, 3 I 2.45-2.50
2 Co 0.3337 0.6663 0.5000  1 Co 2.44, 3 I 2.45-2.50
3 Co 0.6663 0.3337 0.5000  1 Co 2.44, 3 I 2.45-2.50
4 Co 0.8337 0.8337 0.0000  1 Co 2.44, 3 I 2.45-2.50
5 I 0.0000 0.0000 0.5000  6 Co 2.45-2.50
6 I 0.5000 0.5000 0.0000  6 Co 2.45-2.50